(1)
K2BaCu | Alexandria | PBE-GGA | relaxed; energy relative to the elements = 0.35 eV per atom; calculated density = 2.63 Mg/m³; size of the total moment = 0.0 μB per formula unit
1.0
-3.1436 3.1436 4.4658
3.1436 -3.1436 4.4658
3.1436 3.1436 -4.4658
K Ba Cu
2 1 1
direct
0.0000 0.0000 0.0000
0.7500 0.2500 0.5000
0.2500 0.7500 0.5000
0.5000 0.5000 0.0000

***

(2)
KBa4Cu | Alexandria | PBE-GGA | relaxed; energy relative to the elements = 0.57 eV per atom; calculated density = 2.96 Mg/m³; size of the total moment = 0.0 μB per formula unit
1.0
0.0000 5.6746 5.6746
5.6746 0.0000 5.6746
5.6746 5.6746 0.0000
K Ba Cu
1 4 1
direct
0.0000 0.0000 0.0000
0.1265 0.6245 0.6245
0.6245 0.1265 0.6245
0.6245 0.6245 0.1265
0.6245 0.6245 0.6245
0.2500 0.2500 0.2500